[1]
Entry from Alexandria: a relaxed Na2PaMnO6 crystal (GGA+U).

Summary:
As for the energy: -7.050 eV/atom. The density of states at the Fermi level is 0.62 states/eV per atom. As for the crystal system: triclinic.

a b c (Å): 5.6523 5.6542 5.6545
angles (deg): 60.34 60.38 60.92
Fractional positions:
Na 0.2486 0.2500 0.2389
Na 0.7514 0.7500 0.7611
Pa 0.5000 0.5000 0.5000
Mn 0.0000 0.0000 0.0000
O 0.1965 0.7269 0.8018
O 0.2335 0.2364 0.6894
O 0.2773 0.8016 0.1939
O 0.7227 0.1984 0.8061
O 0.7665 0.7636 0.3106
O 0.8035 0.2731 0.1982



[2]
Entry from Alexandria: a relaxed Na2MnPbO4 crystal (GGA+U).

Summary:
As for the energy: -5.609 eV/atom. The density of states at the Fermi level is 0.07 states/eV per atom. As for the crystal system: monoclinic.

a b c (Å): 5.6895 3.3286 5.8457
angles (deg): 90.00 108.62 90.00
Fractional positions:
Na 0.0000 0.0000 0.0000
Na 0.5000 0.5000 0.0000
Mn 0.0000 0.5000 0.5000
Pb 0.5000 0.0000 0.5000
O 0.2437 0.0000 0.7084
O 0.2607 0.5000 0.2766
O 0.7393 0.5000 0.7234
O 0.7563 0.0000 0.2916



[3]
Entry from Alexandria: a relaxed Na3Mn2PbO6 crystal (GGA+U).

Summary:
As for the energy: -5.825 eV/atom. The density of states at the Fermi level is 0.29 states/eV per atom. As for the crystal system: monoclinic.

a b c (Å): 5.6435 5.6435 5.7627
angles (deg): 98.46 98.46 121.36
Fractional positions:
Na 0.0000 0.0000 0.0000
Na 0.3294 0.6706 0.0000
Na 0.6706 0.3294 0.0000
Mn 0.1650 0.8350 0.5000
Mn 0.8350 0.1650 0.5000
Pb 0.5000 0.5000 0.5000
O 0.0822 0.4183 0.2934
O 0.2369 0.2369 0.7181
O 0.4183 0.0822 0.2934
O 0.5817 0.9178 0.7066
O 0.7631 0.7631 0.2819
O 0.9178 0.5817 0.7066



[4]
Entry from Alexandria: a relaxed Na2Mn2PbO6 crystal (GGA+U).

Summary:
As for the energy: -6.076 eV/atom. As for the crystal system: monoclinic.

a b c (Å): 5.4300 5.4300 6.0356
angles (deg): 101.20 101.20 115.28
Fractional positions:
Na 0.1808 0.8192 0.0000
Na 0.8192 0.1808 0.0000
Mn 0.3372 0.6628 0.5000
Mn 0.6628 0.3372 0.5000
Pb 0.0000 0.0000 0.5000
O 0.0208 0.3924 0.7032
O 0.2841 0.2841 0.3193
O 0.3924 0.0208 0.7032
O 0.6076 0.9792 0.2968
O 0.7159 0.7159 0.6807
O 0.9792 0.6076 0.2968



[5]
Entry from Alexandria: a relaxed Na3MnPd3O8 crystal (GGA+U).

Summary:
As for the energy: -5.290 eV/atom. The density of states at the Fermi level is 0.34 states/eV per atom. As for the crystal system: monoclinic.

a b c (Å): 6.3076 6.3076 6.4166
angles (deg): 116.95 116.95 57.57
Fractional positions:
Na 0.0000 0.0000 0.0000
Na 0.0000 0.5000 0.0000
Na 0.5000 0.0000 0.0000
Mn 0.0000 0.0000 0.5000
Pd 0.0000 0.5000 0.5000
Pd 0.5000 0.0000 0.5000
Pd 0.5000 0.5000 0.5000
O 0.2145 0.2145 0.6914
O 0.2147 0.7310 0.6792
O 0.2363 0.2363 0.2744
O 0.2690 0.7853 0.3208
O 0.7310 0.2147 0.6792
O 0.7637 0.7637 0.7256
O 0.7853 0.2690 0.3208
O 0.7855 0.7855 0.3086



[6]
Entry from Alexandria: a relaxed NaMnPdO4 crystal (GGA+U).

Summary:
As for the energy: -5.964 eV/atom. As for the crystal system: orthorhombic.

a b c (Å): 6.3294 6.3294 6.3294
angles (deg): 123.21 120.14 87.14
Fractional positions:
Na 0.3969 0.1469 0.2500
Na 0.6031 0.8531 0.7500
Mn 0.0000 0.0000 0.5000
Mn 0.0000 0.5000 0.0000
Pd 0.0000 0.5000 0.5000
Pd 0.5000 0.5000 0.0000
O 0.1780 0.7226 0.4554
O 0.2329 0.2774 0.9554
O 0.2433 0.2769 0.5337
O 0.2433 0.7096 0.9663
O 0.7567 0.2904 0.0337
O 0.7567 0.7231 0.4663
O 0.7671 0.7226 0.0446
O 0.8220 0.2774 0.5446



[7]
Entry from Alexandria: a relaxed Na3MnPd2O6 crystal (GGA+U).

Summary:
As for the energy: -5.390 eV/atom. The density of states at the Fermi level is 0.39 states/eV per atom. As for the crystal system: monoclinic.

a b c (Å): 5.5566 5.5566 5.6402
angles (deg): 99.20 99.20 120.66
Fractional positions:
Na 0.0000 0.0000 0.0000
Na 0.3329 0.6671 0.0000
Na 0.6671 0.3329 0.0000
Mn 0.5000 0.5000 0.5000
Pd 0.1673 0.8327 0.5000
Pd 0.8327 0.1673 0.5000
O 0.0840 0.4285 0.2953
O 0.2215 0.2215 0.7052
O 0.4285 0.0840 0.2953
O 0.5715 0.9160 0.7047
O 0.7785 0.7785 0.2948
O 0.9160 0.5715 0.7047



[8]
Entry from Alexandria: a relaxed Na2MnPd2O6 crystal (GGA+U).

Summary:
As for the energy: -5.593 eV/atom. The density of states at the Fermi level is 0.16 states/eV per atom. As for the crystal system: monoclinic.

a b c (Å): 5.4297 5.4297 5.8036
angles (deg): 98.95 98.95 120.93
Fractional positions:
Na 0.1647 0.8353 0.0000
Na 0.8353 0.1647 0.0000
Mn 0.0000 0.0000 0.5000
Pd 0.3349 0.6651 0.5000
Pd 0.6651 0.3349 0.5000
O 0.0598 0.4171 0.6964
O 0.2773 0.2773 0.3038
O 0.4171 0.0598 0.6964
O 0.5829 0.9402 0.3036
O 0.7227 0.7227 0.6962
O 0.9402 0.5829 0.3036